Below is crystalline Sr2Cr2Au at its relaxed geometry, with properties calculated at the PBE level.

Cell and atoms, written as POSCAR:
```
Sr2Cr2Au
1.0
-3.294 -8.135 0.742
-0.091 -0.764 -8.774
3.726 -1.500 0.092
Sr Au Cr
4 2 4
Direct
0.297 0.797 0.000
0.797 0.703 0.000
0.703 0.203 0.000
0.203 0.297 0.000
0.000 0.000 0.000
0.500 0.500 0.000
0.070 0.570 0.500
0.570 0.930 0.500
0.930 0.430 0.500
0.430 0.070 0.500
```

Distance to the lowest polymorph of the same formula: 324 meV/atom
Calculated volume: 31.17 Å³ per atom
ΔE_f: 731 meV per atom
D(E_F): 1.09 states/eV/atom
Electronic total energy: -4.45 eV/atom

Below is crystalline ErScBeAu at its relaxed geometry, with properties calculated at the PBE level.

Cell and atoms, written as POSCAR:
```
ErScBeAu
1.0
4.824 0.000 0.000
2.412 4.178 0.000
2.412 1.393 3.939
Sc Be Au Er
1 1 1 1
Direct
0.750 0.750 0.750
0.500 0.500 0.500
0.000 0.000 0.000
0.250 0.250 0.250
```

Calculated volume: 19.85 Å³ per atom
ΔE_f: -349 meV per atom
D(E_F): 0.91 states/eV/atom
Electronic total energy: -4.82 eV/atom

Below is crystalline AcErAsSe at its relaxed geometry, with properties calculated at the PBE level.

Cell and atoms, written as POSCAR:
```
AcErAsSe
1.0
-4.065 0.556 -0.792
1.631 -3.846 -0.053
0.633 0.161 7.878
Ac Er As Se
1 1 1 1
Direct
0.124 0.960 0.099
0.484 0.140 0.639
0.287 0.542 0.844
0.983 0.390 0.388
```

Calculated volume: 28.46 Å³ per atom
Energy relative to the elements, uncorrected: -1.555 eV/atom
D(E_F): 0.63 states/eV/atom
Electronic total energy: -5.76 eV/atom

Below is crystalline AcPmPd2 at its relaxed geometry, with properties calculated at the PBE level.

Cell and atoms, written as POSCAR:
```
AcPmPd2
1.0
-1.465 -3.681 0.654
4.356 -1.715 0.107
0.952 2.740 5.191
Ac Pm Pd
1 1 2
Direct
0.721 0.000 0.980
0.449 0.500 0.438
0.166 0.500 0.871
0.995 0.000 0.529
```

Distance to the lowest polymorph of the same formula: 0 meV/atom
Calculated volume: 26.30 Å³ per atom
ΔE_f: -805 meV per atom
D(E_F): 0.56 states/eV/atom
Electronic total energy: -5.62 eV/atom

Below is crystalline YVB2Pb at its relaxed geometry, with properties calculated at the PBE level.

Cell and atoms, written as POSCAR:
```
YVB2Pb
1.0
4.697 0.000 0.000
0.000 4.697 0.000
0.000 0.000 5.314
Pb Y B V
1 1 2 1
Direct
0.500 0.500 0.500
0.000 0.000 0.000
0.000 0.500 0.000
0.500 0.000 0.000
0.000 0.000 0.500
```

Calculated volume: 23.45 Å³ per atom
ΔE_f: 1909 meV per atom
D(E_F): 0.90 states/eV/atom
Electronic total energy: -4.62 eV/atom

Below is crystalline BaSrCaIn at its relaxed geometry, with properties calculated at the PBE level.

Cell and atoms, written as POSCAR:
```
BaSrCaIn
1.0
6.072 0.000 0.000
3.036 5.259 0.000
3.036 1.753 4.958
Sr Ca Ba In
1 1 1 1
Direct
0.500 0.500 0.500
0.250 0.250 0.250
0.750 0.750 0.750
0.000 0.000 0.000
```

Calculated volume: 39.58 Å³ per atom
ΔE_f: -148 meV per atom
D(E_F): 0.73 states/eV/atom
Electronic total energy: -2.23 eV/atom